1.
Material: AlFe2P
Method: DFT, PBE
State: optimized geometry

Cell lengths 5.5593, 5.5593, 5.5593 Å; angles 90.00, 90.00, 90.00 degrees
Closest atoms and distances in Å follow each position.
Space group Fm-3m (No. 225)
Inequivalent atoms, fractional coordinates:
Al: 0.0000 0.0000 0.0000 [4 per cell]  8 Fe 2.41
Fe: 0.2500 0.2500 0.2500 [8 per cell]  4 Al 2.41, 4 P 2.41
P: 0.0000 0.0000 0.5000 [4 per cell]  8 Fe 2.41

## Properties
Formation energy from the elements, kJ/mol of atoms: -30.6
Energy above the lowest structure with this stoichiometry, meV per atom: 82
Size of the total moment, μB per formula unit: 0.0

2.
Material: AlFeP2
Method: DFT, PBE
State: optimized geometry

Cell lengths 3.3583, 3.3583, 17.6931 Å; angles 90.00, 90.00, 120.00 degrees
Closest atoms and distances in Å follow each position.
Space group R-3m (No. 166, hexagonal axes)
Inequivalent atoms, fractional coordinates:
Al: 0.0000 0.0000 0.0000 [3 per cell]  6 P 2.52
Fe: 0.0000 0.0000 0.5000 [3 per cell]  6 P 2.35
P: 0.0000 0.0000 0.2419 [6 per cell]  3 Fe 2.35, 3 Al 2.52

## Properties
Formation energy from the elements, kJ/mol of atoms: -13.3
Size of the total moment, μB per formula unit: 1.7

3.
Material: AlFeP2
Method: DFT, PBE
State: optimized geometry

Cell lengths 5.9076, 5.9076, 5.9076 Å; angles 90.00, 90.00, 90.00 degrees
Closest atoms and distances in Å follow each position.
Space group F-43m (No. 216)
Inequivalent atoms, fractional coordinates:
Al: 0.0000 0.0000 0.0000 [4 per cell]  4 Fe 2.56, 4 P 2.56
Fe: 0.2500 0.2500 0.2500 [4 per cell]  4 Al 2.56, 4 P 2.56
P: 0.0000 0.0000 0.5000 [4 per cell]  4 Fe 2.56, 4 P 2.56
P: 0.2500 0.2500 0.7500 [4 per cell]  4 Al 2.56, 4 P 2.56

## Properties
Formation energy from the elements, kJ/mol of atoms: 35.6
Size of the total moment, μB per formula unit: 0.9

4.
Material: AlFe2P
Method: DFT, PBE
State: optimized geometry

Cell lengths 2.7938, 2.7938, 22.7928 Å; angles 90.00, 90.00, 120.00 degrees
Closest atoms and distances in Å follow each position.
Space group R3m (No. 160, hexagonal axes)
Inequivalent atoms, fractional coordinates:
Al: 0.0000 0.0000 0.0000 [3 per cell]  3 Fe 2.52, 3 P 2.69, 6 Al 2.79
Fe: 0.0000 0.0000 0.5036 [3 per cell]  3 P 2.25
Fe: 0.0000 0.0000 0.7514 [3 per cell]  3 Al 2.52, 9 Fe 2.53-2.79
P: 0.0000 0.0000 0.2390 [3 per cell]  3 Fe 2.25

## Properties
Formation energy from the elements, kJ/mol of atoms: -2.9
Energy above the lowest structure with this stoichiometry, meV per atom: 368
Size of the total moment, μB per formula unit: 3.9